1.
Computed, not measured: a relaxed structure of Ce3Ni3As4 at the PBE level of DFT.

Lattice parameters (Å, degrees): 9.074 9.074 9.074 90.00 90.00 90.00
Space group I-43d (No. 220)
Asymmetric unit:
Ce 0.000 0.250 0.875 (multiplicity 12)
Ni 0.000 0.250 0.375 (multiplicity 12)
As 0.079 0.421 0.579 (multiplicity 16)

---

2.
Computed, not measured: a relaxed structure of Ce2Ni3As4 at the PBE level of DFT.

**D(E_F)**: 9.377 states/eV/f.u.

Lattice parameters (Å, degrees): 5.706 14.802 7.336 90.00 90.00 90.00
Space group Cmce (No. 64)
Asymmetric unit:
Ce 0.000 0.117 0.083 (multiplicity 8)
Ni 0.000 0.000 0.500 (multiplicity 4)
Ni 0.250 0.212 0.750 (multiplicity 8)
As 0.000 0.190 0.457 (multiplicity 8)
As 0.250 0.048 0.750 (multiplicity 8)

---

no.,ρ (g cm⁻³),DFT total energy (eV per atom),energy of formation (eV per atom)
1,7.97,-6.398,-1.024
2,8.10,-6.089,-0.777